Eu2PPb | GGA-PBE | optimized geometry

Total moment: 13.38 μB/f.u.
E_form: -773 meV per atom
Excess energy over the best structure of this formula in the dataset: 0.017 eV per atom

Cell: 3.6061 3.6061 8.5046 Å, 90.00 90.00 90.00°
Space group P4/mmm (No. 123)
Asymmetric unit:
Eu 0.0000 0.0000 0.1957
P 0.5000 0.5000 0.0000
Pb 0.5000 0.5000 0.5000

YZnSe2 | GGA-PBE | optimized geometry

Total moment: 0.00 μB/f.u.
Uncorrected formation energy: -0.47 eV/atom

Cell: 7.0719 7.0719 7.0719 Å, 90.00 90.00 90.00°
Space group F-43m (No. 216)
Asymmetric unit:
Y 0.0000 0.0000 0.0000
Zn 0.2500 0.2500 0.7500
Se 0.0000 0.0000 0.5000
Se 0.2500 0.2500 0.2500

Respective DOS(E_F) values: 2.1 2.7 states/eV/f.u..